Compound: NdTh2Tl
Source: the Alexandria database
Functional: PBE
Structure: relaxed

For the energy above the lowest structure with this stoichiometry, the calculation gives 0.00 kcal/mol of atoms. The value obtained for the formation energy from the elements is -0.11 eV per atom.

Unit cell a=4.7913 b=4.7394 c=11.6904 alpha=90.00 beta=101.84 gamma=90.00
With the nearest neighbours (Å) after each atom.
Fractional coordinates of all 8 atoms:
Th  0.5597  0.2500  0.1190  8 Th 3.37-3.61, 2 Tl 3.43-3.44
Th  0.9416  0.2500  0.8834  8 Th 3.37-3.61, 2 Tl 3.44
Th  0.4403  0.7500  0.8810  8 Th 3.37-3.61, 2 Tl 3.43-3.44
Th  0.0584  0.7500  0.1166  8 Th 3.37-3.61, 2 Tl 3.44
Nd  0.6944  0.7500  0.3878  5 Tl 3.18-3.43
Nd  0.3056  0.2500  0.6122  5 Tl 3.18-3.43
Tl  0.8321  0.7500  0.6659  5 Nd 3.18-3.43, 4 Th 3.43-3.44
Tl  0.1679  0.2500  0.3341  5 Nd 3.18-3.43, 4 Th 3.43-3.44



Compound: Nd4ThTl
Source: the Alexandria database
Functional: PBE
Structure: relaxed

The value obtained for the formation energy from the elements is 0.01 eV per atom.

Unit cell a=6.5309 b=9.0969 c=8.5822 alpha=113.61 beta=101.55 gamma=109.88
With the nearest neighbours (Å) after each atom.
Fractional coordinates of all 12 atoms:
Th  0.3613  0.6113  0.2225  10 Nd 3.48-3.73
Th  0.6387  0.3887  0.7775  10 Nd 3.48-3.73
Nd  0.7684  0.7060  0.6255  2 Tl 3.28-3.30, 2 Th 3.48-3.54, 4 Nd 3.54-3.67
Nd  0.9484  0.8056  0.1973  2 Tl 3.30-3.34, 1 Th 3.52, 3 Nd 3.54-3.65
Nd  0.7489  0.3917  0.1973  2 Tl 3.30-3.34, 1 Th 3.52, 3 Nd 3.54-3.65
Nd  0.2511  0.6083  0.8027  2 Tl 3.30-3.34, 1 Th 3.52, 3 Nd 3.54-3.65
Nd  0.0516  0.1944  0.8027  2 Tl 3.30-3.34, 1 Th 3.52, 3 Nd 3.54-3.65
Nd  0.2316  0.2940  0.3745  2 Tl 3.28-3.30, 2 Th 3.48-3.54, 4 Nd 3.54-3.67
Nd  0.3571  0.9195  0.6255  2 Tl 3.28-3.30, 2 Th 3.48-3.54, 4 Nd 3.54-3.67
Nd  0.6429  0.0805  0.3745  2 Tl 3.28-3.30, 2 Th 3.48-3.54, 4 Nd 3.54-3.67
Tl  0.2526  0.0026  0.0051  2 Tl 3.27, 8 Nd 3.28-3.34
Tl  0.7474  0.9974  0.9949  2 Tl 3.27, 8 Nd 3.28-3.34



Compound: NdTmThTl
Source: the Alexandria database
Functional: PBE
Structure: relaxed

The value obtained for the formation energy from the elements is 0.02 eV per atom.

Unit cell a=5.5483 b=5.5483 c=5.5483 alpha=60.00 beta=60.00 gamma=60.00
With the nearest neighbours (Å) after each atom.
Fractional coordinates of all 4 atoms:
Nd  0.2500  0.2500  0.2500  4 Tl 3.40, 4 Tm 3.40
Tm  0.5000  0.5000  0.5000  4 Th 3.40, 4 Nd 3.40
Tl  0.0000  0.0000  0.0000  4 Th 3.40, 4 Nd 3.40
Th  0.7500  0.7500  0.7500  4 Tl 3.40, 4 Tm 3.40



Compound: NdThTlZn
Source: the Alexandria database
Functional: PBE
Structure: relaxed

The value obtained for the formation energy from the elements is -0.19 eV per atom.

Unit cell a=5.3844 b=5.3844 c=5.3844 alpha=60.00 beta=60.00 gamma=60.00
With the nearest neighbours (Å) after each atom.
Fractional coordinates of all 4 atoms:
Tl  0.5000  0.5000  0.5000  4 Th 3.30, 4 Nd 3.30
Nd  0.2500  0.2500  0.2500  4 Tl 3.30, 4 Zn 3.30
Zn  0.0000  0.0000  0.0000  4 Nd 3.30, 4 Th 3.30
Th  0.7500  0.7500  0.7500  4 Zn 3.30, 4 Tl 3.30



> Look up the formation energy from the elements of the first one.

-0.11 eV per atom